Density functional theory data (PBE) for a relaxed structure of Pm2Tm3Th.

Cell: 5.031 6.172 18.508 Å, 48.17 82.19 65.95°
Fractional positions:
1 Tm 0.127 0.289 0.457
2 Tm 0.877 0.037 0.209
3 Tm 0.624 0.795 0.957
4 Tm 0.123 0.963 0.791
5 Tm 0.376 0.205 0.043
6 Tm 0.873 0.711 0.543
7 Pm 0.126 0.621 0.128
8 Pm 0.372 0.883 0.373
9 Pm 0.874 0.379 0.872
10 Pm 0.628 0.117 0.627
11 Th 0.378 0.535 0.709
12 Th 0.622 0.465 0.291

Calculated values
Electronic total energy = -60.20 eV per cell
ΔE_f = 23 kJ/mol of formula units
Energy above the most stable polymorph in this dataset = 0 meV/atom
M_tot = 0.000 Bohr magnetons per cell